Here is Ca3TaB at its PBEsol-relaxed geometry from the Alexandria database. Energies are from SCAN.

Computed properties:
For the calculated formation energy, the calculation gives 1.95 eV per atom.

abc: 5.425 5.425 5.425
angles: 90.00 90.00 90.00
Sites, in units of the cell vectors:
Ca: 0.000 0.500 0.000
Ca: 0.000 0.000 0.500
Ca: 0.500 0.000 0.000
B: 0.500 0.500 0.500
Ta: 0.000 0.000 0.000